{"formula": "ReHgPt2", "functional": "PBE", "state": "optimized geometry", "rho_g_cm3": 17.24, "e_tot_ev_per_cell": -44.4, "crystal_system": "tetragonal", "sg": "No. 122", "m_tot_mub_per_cell": 2.64, "lattice_angstrom": [[7.330, 0.000, 0.000], [0.000, 7.330, 0.000], [3.665, 3.665, 2.786]], "species": ["Pt", "Pt", "Pt", "Pt", "Hg", "Hg", "Re", "Re"], "fractional_positions": [[0.156, 0.625, 0.250], [0.375, 0.406, 0.750], [0.594, 0.125, 0.250], [0.875, 0.844, 0.750], [0.750, 0.250, 0.500], [0.000, 0.000, 0.000], [0.250, 0.750, 0.500], [0.500, 0.500, 0.000]]}